1.
This record from Alexandria describes Li2TcAs2 after structural relaxation. The functional is PBE-GGA.

Output
* total moment: 0.44 μB/f.u.
* energy relative to the elements: -0.099 eV per atom
* ΔE to the lowest computed polymorph: 0.273 eV/atom
* space-group type: I4/mmm, No. 139

a = 7.218 Å, b = 7.218 Å, c = 7.218 Å
α = 153.93°, β = 153.93°, γ = 37.20°
Atoms (fractional coordinates):
Li: 0.250 0.750 0.500
Li: 0.750 0.250 0.500
Tc: 0.000 0.000 0.000
As: 0.395 0.395 0.000
As: 0.605 0.605 0.000

***

2.
This record from Alexandria describes TbNdTmZn after structural relaxation. The functional is PBE-GGA.

Output
* total moment: 0.00 μB/f.u.
* energy relative to the elements: -0.163 eV per atom
* ΔE to the lowest computed polymorph: 0.000 eV/atom
* space-group type: P4mm, No. 99

a = 3.576 Å, b = 3.576 Å, c = 8.706 Å
α = 90.00°, β = 90.00°, γ = 90.00°
Atoms (fractional coordinates):
Tb: 0.000 0.000 0.000
Nd: 0.500 0.500 0.301
Tm: 0.000 0.000 0.596
Zn: 0.500 0.500 0.791

***

3.
This record from Alexandria describes NaSr2Cl after structural relaxation. The functional is PBE-GGA.

Output
* formation energy (no corrections): -3.1 eV/f.u.
* total moment: 0.00 μB/f.u.
* ΔE to the lowest computed polymorph: 0.000 eV/atom
* space-group type: R-3m, No. 166

a = 11.023 Å, b = 11.023 Å, c = 11.023 Å
α = 21.64°, β = 21.64°, γ = 21.64°
Atoms (fractional coordinates):
Na: 0.000 0.000 0.000
Sr: 0.235 0.235 0.235
Sr: 0.765 0.765 0.765
Cl: 0.500 0.500 0.500

***

4.
This record from Alexandria describes CsTbRu2O8 after structural relaxation. The functional is PBE-GGA.

Output
* formation energy (no corrections): -18.1 eV/f.u.
* total moment: 4.03 μB/f.u.
* space-group type: P-3, No. 147

a = 5.973 Å, b = 5.973 Å, c = 8.568 Å
α = 90.00°, β = 90.00°, γ = 120.00°
Atoms (fractional coordinates):
Cs: 0.000 0.000 0.000
Tb: 0.000 0.000 0.500
Ru: 0.333 0.667 0.734
Ru: 0.667 0.333 0.266
O: 0.134 0.341 0.664
O: 0.207 0.866 0.664
O: 0.333 0.667 0.939
O: 0.341 0.207 0.336
O: 0.659 0.793 0.664
O: 0.667 0.333 0.061
O: 0.793 0.134 0.336
O: 0.866 0.659 0.336

***

5.
This record from Alexandria describes Be2SBr after structural relaxation. The functional is PBE-GGA.

Output
* formation energy (no corrections): 2.4 eV/f.u.
* total moment: 0.00 μB/f.u.
* ΔE to the lowest computed polymorph: 1.312 eV/atom
* space-group type: Fm-3m, No. 225

a = 4.375 Å, b = 4.375 Å, c = 4.375 Å
α = 60.00°, β = 60.00°, γ = 60.00°
Atoms (fractional coordinates):
Be: 0.250 0.250 0.250
Be: 0.750 0.750 0.750
S: 0.000 0.000 0.000
Br: 0.500 0.500 0.500

***

6.
This record from Alexandria describes TcAs2 after structural relaxation. The functional is PBE-GGA.

Output
* total moment: 0.00 μB/f.u.
* energy relative to the elements: -0.082 eV per atom
* ΔE to the lowest computed polymorph: 0.109 eV/atom
* space-group type: Cmcm, No. 63

a = 6.554 Å, b = 6.554 Å, c = 4.883 Å
α = 90.00°, β = 90.00°, γ = 151.40°
Atoms (fractional coordinates):
Tc: 0.203 0.797 0.750
Tc: 0.797 0.203 0.250
As: 0.144 0.856 0.250
As: 0.457 0.543 0.250
As: 0.543 0.457 0.750
As: 0.856 0.144 0.750

***

7.
This record from Alexandria describes LaDy3Y6 after structural relaxation. The functional is PBE-GGA.

Output
* total moment: 0.00 μB/f.u.
* energy relative to the elements: 0.259 eV per atom
* ΔE to the lowest computed polymorph: 0.115 eV/atom
* space-group type: R3, No. 146

a = 6.921 Å, b = 6.921 Å, c = 6.921 Å
α = 91.33°, β = 91.33°, γ = 91.33°
Atoms (fractional coordinates):
La: 0.000 0.000 0.000
Dy: 0.252 0.252 0.252
Dy: 0.499 0.499 0.499
Dy: 0.746 0.746 0.746
Y: 0.001 0.333 0.667
Y: 0.172 0.828 0.501
Y: 0.333 0.667 0.001
Y: 0.501 0.172 0.828
Y: 0.667 0.001 0.333
Y: 0.828 0.501 0.172

***

8.
This record from Alexandria describes Dy6Er2Tm3In after structural relaxation. The functional is PBE-GGA.

Output
* total moment: 0.00 μB/f.u.
* energy relative to the elements: -0.038 eV per atom
* space-group type: C2/m, No. 12

a = 6.051 Å, b = 6.051 Å, c = 11.545 Å
α = 95.03°, β = 95.03°, γ = 120.03°
Atoms (fractional coordinates):
Dy: 0.082 0.412 0.748
Dy: 0.247 0.247 0.251
Dy: 0.412 0.082 0.748
Dy: 0.588 0.918 0.252
Dy: 0.753 0.753 0.749
Dy: 0.918 0.588 0.252
Er: 0.334 0.666 0.500
Er: 0.666 0.334 0.500
Tm: 0.167 0.833 0.000
Tm: 0.500 0.500 0.000
Tm: 0.833 0.167 0.000
In: 0.000 0.000 0.500

***

9.
This record from Alexandria describes Nb2BF after structural relaxation. The functional is PBE-GGA.

Output
* formation energy (no corrections): -0.5 eV/f.u.
* total moment: 0.00 μB/f.u.
* ΔE to the lowest computed polymorph: 0.353 eV/atom
* space-group type: I-42d, No. 122

a = 6.189 Å, b = 6.189 Å, c = 6.189 Å
α = 132.35°, β = 132.35°, γ = 69.67°
Atoms (fractional coordinates):
Nb: 0.093 0.625 0.968
Nb: 0.375 0.343 0.468
Nb: 0.657 0.125 0.032
Nb: 0.875 0.907 0.532
B: 0.000 0.000 0.000
B: 0.750 0.250 0.500
F: 0.250 0.750 0.500
F: 0.500 0.500 0.000

***

10.
This record from Alexandria describes K2LiCl after structural relaxation. The functional is PBE-GGA.

Output
* formation energy (no corrections): -1.6 eV/f.u.
* total moment: 0.00 μB/f.u.
* ΔE to the lowest computed polymorph: 0.416 eV/atom
* space-group type: F-43m, No. 216

a = 6.127 Å, b = 6.127 Å, c = 6.127 Å
α = 60.00°, β = 60.00°, γ = 60.00°
Atoms (fractional coordinates):
K: 0.000 0.000 0.000
K: 0.250 0.250 0.250
Li: 0.750 0.750 0.750
Cl: 0.500 0.500 0.500

***

11.
This record from Alexandria describes NaGeSe2N after structural relaxation. The functional is PBE-GGA.

Output
* formation energy (no corrections): 1.4 eV/f.u.
* total moment: 0.00 μB/f.u.
* ΔE to the lowest computed polymorph: 0.000 eV/atom
* space-group type: P4/mmm, No. 123

a = 5.531 Å, b = 5.531 Å, c = 3.446 Å
α = 90.00°, β = 90.00°, γ = 90.00°
Atoms (fractional coordinates):
Na: 0.000 0.000 0.000
Ge: 0.500 0.500 0.500
Se: 0.000 0.500 0.500
Se: 0.500 0.000 0.500
N: 0.500 0.500 0.000

***

12.
This record from Alexandria describes HoFeNi4 after structural relaxation. The functional is PBE-GGA.

Output
* total moment: 4.03 μB/f.u.
* energy relative to the elements: -0.257 eV per atom
* space-group type: P-6m2, No. 187

a = 4.934 Å, b = 4.934 Å, c = 3.930 Å
α = 90.00°, β = 90.00°, γ = 120.00°
Atoms (fractional coordinates):
Ho: 0.000 0.000 0.000
Fe: 0.333 0.667 0.000
Ni: 0.500 0.001 0.500
Ni: 0.500 0.500 0.500
Ni: 0.667 0.333 0.000
Ni: 0.999 0.500 0.500

***

> Look up the total moment of the sixth one.

0.00 μB/f.u.

***

> Number 3 is which compound?

NaSr2Cl

***

> What is the formula in the eighth record?

Dy6Er2Tm3In